Record 1
# Ho5Ni2Ir, relaxed, DFT PBE-GGA
data_Ho5Ni2Ir
_cell_length_a 7.009
_cell_length_b 7.009
_cell_length_c 14.596
_cell_angle_alpha 90.00
_cell_angle_beta 90.00
_cell_angle_gamma 90.00
_symmetry_space_group_name_H-M 'I 4/m c m'
_symmetry_Int_Tables_number 140
_symmetry_space_group_name_Hall '-I 4 2c'
loop_
_atom_site_label
_atom_site_fract_x
_atom_site_fract_y
_atom_site_fract_z
Ho1 0.000 0.000 0.000
Ho2 0.175 0.325 0.146
Ni1 0.120 0.380 0.500
Ir1 0.000 0.000 0.250
# Energy ... -47.39 eV/f.u.
# Energy of formation ... -49.2 kJ/mol of atoms

***

Record 2
# Cs4Tl2Au, relaxed, DFT PBE-GGA
data_Cs4Tl2Au
_cell_length_a 7.352
_cell_length_b 7.352
_cell_length_c 17.903
_cell_angle_alpha 90.00
_cell_angle_beta 90.00
_cell_angle_gamma 90.00
_symmetry_space_group_name_H-M 'I 4/m m m'
_symmetry_Int_Tables_number 139
_symmetry_space_group_name_Hall '-I 4 2'
loop_
_atom_site_label
_atom_site_fract_x
_atom_site_fract_y
_atom_site_fract_z
Cs1 0.000 0.000 0.195
Cs2 0.000 0.500 0.000
Tl1 0.000 0.000 0.416
Au1 0.000 0.000 0.000
# Energy ... -11.77 eV/f.u.
# Energy of formation ... -4.7 kJ/mol of atoms

***

Record 3
# LiHBrCl, relaxed, DFT PBE-GGA
data_LiHBrCl
_cell_length_a 5.112
_cell_length_b 5.221
_cell_length_c 6.076
_cell_angle_alpha 90.00
_cell_angle_beta 101.68
_cell_angle_gamma 90.00
_symmetry_space_group_name_H-M 'C 1 m 1'
_symmetry_Int_Tables_number 8
loop_
_symmetry_equiv_pos_as_xyz
'x,y,z'
'x,-y,z'
'x+1/2,y+1/2,z'
'x+1/2,-y+1/2,z'
loop_
_atom_site_label
_atom_site_fract_x
_atom_site_fract_y
_atom_site_fract_z
Li1 0.000 0.000 0.000
H1 0.252 0.500 0.380
Br1 0.012 0.000 0.541
Cl1 0.011 0.500 0.046
# Energy ... -12.58 eV/f.u.
# Energy above the lowest structure with this stoichiometry ... 66.7 meV/atom

***

Record 4
# Tb3Ho3Tm4, relaxed, DFT PBE-GGA
data_Tb3Ho3Tm4
_cell_length_a 3.630
_cell_length_b 13.103
_cell_length_c 13.113
_cell_angle_alpha 90.00
_cell_angle_beta 90.00
_cell_angle_gamma 90.00
_symmetry_space_group_name_H-M 'A m m 2'
_symmetry_Int_Tables_number 38
loop_
_symmetry_equiv_pos_as_xyz
'x,y,z'
'-x,-y,z'
'-x,y,z'
'x,-y,z'
'x,y+1/2,z+1/2'
'-x,-y+1/2,z+1/2'
'-x,y+1/2,z+1/2'
'x,-y+1/2,z+1/2'
loop_
_atom_site_label
_atom_site_fract_x
_atom_site_fract_y
_atom_site_fract_z
Tb1 0.000 0.000 0.000
Tb2 0.000 0.173 0.673
Ho1 0.000 0.000 0.346
Ho2 0.500 0.249 0.423
Tm1 0.500 0.000 0.548
Tm2 0.500 0.000 0.798
Tm3 0.500 0.125 0.174
# Energy ... -44.60 eV/f.u.
# Energy of formation ... 8.8 kJ/mol of atoms

***

Record 5
# LaSn2Pd5, relaxed, DFT PBE-GGA
data_LaSn2Pd5
_cell_length_a 4.344
_cell_length_b 5.835
_cell_length_c 12.737
_cell_angle_alpha 90.00
_cell_angle_beta 90.00
_cell_angle_gamma 90.00
_symmetry_space_group_name_H-M 'I m m m'
_symmetry_Int_Tables_number 71
_symmetry_space_group_name_Hall '-I 2 2'
loop_
_atom_site_label
_atom_site_fract_x
_atom_site_fract_y
_atom_site_fract_z
La1 0.000 0.000 0.000
Sn1 0.000 0.500 0.213
Pd1 0.000 0.237 0.384
Pd2 0.000 0.500 0.000
# Energy ... -44.08 eV/f.u.
# Energy above the lowest structure with this stoichiometry ... 0.0 meV/atom
# Energy of formation ... -62.6 kJ/mol of atoms

***

Record 6
# YCl2F, relaxed, DFT PBE-GGA
data_YCl2F
_cell_length_a 6.956
_cell_length_b 6.039
_cell_length_c 10.535
_cell_angle_alpha 90.00
_cell_angle_beta 90.00
_cell_angle_gamma 90.00
_symmetry_space_group_name_H-M 'P n n a'
_symmetry_Int_Tables_number 52
loop_
_symmetry_equiv_pos_as_xyz
'x,y,z'
'-x,-y,-z'
'-x+1/2,-y,z'
'x+1/2,y,-z'
'x,-y+1/2,-z+1/2'
'-x,y+1/2,z+1/2'
'-x+1/2,y+1/2,-z+1/2'
'x+1/2,-y+1/2,z+1/2'
loop_
_atom_site_label
_atom_site_fract_x
_atom_site_fract_y
_atom_site_fract_z
Y1 0.250 0.000 0.105
Cl1 0.073 0.235 0.924
F1 0.186 0.250 0.250
# Energy ... -23.53 eV/f.u.
# Energy above the lowest structure with this stoichiometry ... 12.4 meV/atom
# Formation energy (no corrections) ... -11.50 eV per formula unit

***

Record 7
# SrMn2Cd, relaxed, DFT PBE-GGA
data_SrMn2Cd
_cell_length_a 8.085
_cell_length_b 4.674
_cell_length_c 6.210
_cell_angle_alpha 90.00
_cell_angle_beta 115.97
_cell_angle_gamma 90.00
_symmetry_space_group_name_H-M 'C 1 m 1'
_symmetry_Int_Tables_number 8
loop_
_symmetry_equiv_pos_as_xyz
'x,y,z'
'x,-y,z'
'x+1/2,y+1/2,z'
'x+1/2,-y+1/2,z'
loop_
_atom_site_label
_atom_site_fract_x
_atom_site_fract_y
_atom_site_fract_z
Sr1 0.000 0.000 0.000
Mn1 0.198 0.000 0.592
Mn2 0.499 0.000 0.496
Cd1 0.300 0.500 0.399
# Energy ... -19.27 eV/f.u.
# Energy of formation ... 40.1 kJ/mol of atoms

***

Record 8
# CsAcSiSe4, relaxed, DFT PBE-GGA
data_CsAcSiSe4
_cell_length_a 7.019
_cell_length_b 7.139
_cell_length_c 10.042
_cell_angle_alpha 90.00
_cell_angle_beta 108.00
_cell_angle_gamma 90.00
_symmetry_space_group_name_H-M 'P 1 21/m 1'
_symmetry_Int_Tables_number 11
loop_
_symmetry_equiv_pos_as_xyz
'x,y,z'
'-x,-y,-z'
'-x,y+1/2,-z'
'x,-y+1/2,z'
loop_
_atom_site_label
_atom_site_fract_x
_atom_site_fract_y
_atom_site_fract_z
Cs1 0.229 0.250 0.434
Ac1 0.265 0.250 0.952
Si1 0.297 0.750 0.178
Se1 0.103 0.750 0.321
Se2 0.116 0.750 0.943
Se3 0.491 0.504 0.784
# Energy ... -33.72 eV/f.u.
# Formation energy (no corrections) ... -9.39 eV per formula unit

***

Record 9
# EuLu2Th, relaxed, DFT PBE-GGA
data_EuLu2Th
_cell_length_a 5.792
_cell_length_b 5.792
_cell_length_c 3.829
_cell_angle_alpha 90.00
_cell_angle_beta 90.00
_cell_angle_gamma 90.00
_symmetry_space_group_name_H-M 'P 4/m m m'
_symmetry_Int_Tables_number 123
_symmetry_space_group_name_Hall '-P 4 2'
loop_
_atom_site_label
_atom_site_fract_x
_atom_site_fract_y
_atom_site_fract_z
Eu1 0.000 0.000 0.000
Lu1 0.000 0.500 0.500
Th1 0.500 0.500 0.000
# Energy ... -26.17 eV/f.u.
# Energy above the lowest structure with this stoichiometry ... 0.0 meV/atom
# Energy of formation ... 13.6 kJ/mol of atoms

***

Record 10
# Ta2IrPt, relaxed, DFT PBE-GGA
data_Ta2IrPt
_cell_length_a 2.8839
_cell_length_b 2.8839
_cell_length_c 27.9719
_cell_angle_alpha 90.00
_cell_angle_beta 90.00
_cell_angle_gamma 120.00
_symmetry_space_group_name_H-M 'R 3 m'
_symmetry_Int_Tables_number 160
_symmetry_space_group_name_Hall 'R 3 -2"'
loop_
_atom_site_label
_atom_site_fract_x
_atom_site_fract_y
_atom_site_fract_z
Ta1 0.0000 0.0000 0.0000
Ta2 0.0000 0.0000 0.2421
Ir1 0.0000 0.0000 0.7428
Pt1 0.0000 0.0000 0.4959
# Energy ... -39.36 eV/f.u.
# Energy of formation ... -18.3 kJ/mol of atoms

***

Record 11
# PdPt, relaxed, DFT PBE-GGA
data_PdPt
_cell_length_a 5.032
_cell_length_b 5.032
_cell_length_c 2.689
_cell_angle_alpha 90.00
_cell_angle_beta 90.00
_cell_angle_gamma 90.00
_symmetry_space_group_name_H-M 'I -4 m 2'
_symmetry_Int_Tables_number 119
_symmetry_space_group_name_Hall 'I -4 -2'
loop_
_atom_site_label
_atom_site_fract_x
_atom_site_fract_y
_atom_site_fract_z
Pd1 0.000 0.000 0.000
Pt1 0.000 0.500 0.750
# Energy ... -10.57 eV/f.u.
# Energy of formation ... 32.1 kJ/mol of atoms

***

Record 12
# PmNdGd2, relaxed, DFT PBE-GGA
data_PmNdGd2
_cell_length_a 3.627
_cell_length_b 3.627
_cell_length_c 10.227
_cell_angle_alpha 90.00
_cell_angle_beta 90.00
_cell_angle_gamma 90.00
_symmetry_space_group_name_H-M 'P 4/m m m'
_symmetry_Int_Tables_number 123
_symmetry_space_group_name_Hall '-P 4 2'
loop_
_atom_site_label
_atom_site_fract_x
_atom_site_fract_y
_atom_site_fract_z
Pm1 0.000 0.000 0.000
Nd1 0.000 0.000 0.500
Gd1 0.500 0.500 0.249
# Energy ... -37.60 eV/f.u.
# Energy above the lowest structure with this stoichiometry ... 2.7 meV/atom
# Energy of formation ... 1.9 kJ/mol of atoms

***

Record 13
# NaCuH2, relaxed, DFT PBE-GGA
data_NaCuH2
_cell_length_a 5.478
_cell_length_b 5.478
_cell_length_c 5.478
_cell_angle_alpha 90.00
_cell_angle_beta 90.00
_cell_angle_gamma 90.00
_symmetry_space_group_name_H-M 'F m -3 m'
_symmetry_Int_Tables_number 225
_symmetry_space_group_name_Hall '-F 4 2 3'
loop_
_atom_site_label
_atom_site_fract_x
_atom_site_fract_y
_atom_site_fract_z
Na1 0.000 0.000 0.000
Cu1 0.000 0.000 0.500
H1 0.250 0.250 0.250
# Energy ... -9.98 eV/f.u.
# Energy above the lowest structure with this stoichiometry ... 631.7 meV/atom

***

Record 14
# Y2Si3TcIr4, relaxed, DFT PBE-GGA
data_Y2Si3TcIr4
_cell_length_a 4.115
_cell_length_b 4.115
_cell_length_c 10.149
_cell_angle_alpha 90.00
_cell_angle_beta 90.00
_cell_angle_gamma 90.00
_symmetry_space_group_name_H-M 'P -4 m 2'
_symmetry_Int_Tables_number 115
loop_
_symmetry_equiv_pos_as_xyz
'x,y,z'
'y,-x,-z'
'-x,-y,z'
'-y,x,-z'
'-x,y,z'
'-y,-x,-z'
'x,-y,z'
'y,x,-z'
loop_
_atom_site_label
_atom_site_fract_x
_atom_site_fract_y
_atom_site_fract_z
Y1 0.000 0.500 0.243
Si1 0.000 0.500 0.871
Si2 0.500 0.500 0.500
Tc1 0.000 0.000 0.500
Ir1 0.000 0.000 0.000
Ir2 0.000 0.500 0.637
Ir3 0.500 0.500 0.000
# Energy ... -83.95 eV/f.u.
# Formation energy (no corrections) ... -8.94 eV per formula unit

***

Record 15
# K2CeAuO4, relaxed, DFT PBE-GGA
data_K2CeAuO4
_cell_length_a 6.442
_cell_length_b 6.442
_cell_length_c 7.236
_cell_angle_alpha 90.00
_cell_angle_beta 90.00
_cell_angle_gamma 90.00
_symmetry_space_group_name_H-M 'I -4'
_symmetry_Int_Tables_number 82
loop_
_symmetry_equiv_pos_as_xyz
'x,y,z'
'y,-x,-z'
'-x,-y,z'
'-y,x,-z'
'x+1/2,y+1/2,z+1/2'
'y+1/2,-x+1/2,-z+1/2'
'-x+1/2,-y+1/2,z+1/2'
'-y+1/2,x+1/2,-z+1/2'
loop_
_atom_site_label
_atom_site_fract_x
_atom_site_fract_y
_atom_site_fract_z
K1 0.000 0.000 0.000
K2 0.000 0.500 0.250
Ce1 0.000 0.000 0.500
Au1 0.000 0.500 0.750
O1 0.155 0.210 0.686
# Energy ... -44.63 eV/f.u.
# Formation energy (no corrections) ... -13.39 eV per formula unit

***

Record 16
# Rb4Ho6F19, relaxed, DFT PBE-GGA
data_Rb4Ho6F19
_cell_length_a 11.122
_cell_length_b 11.122
_cell_length_c 11.122
_cell_angle_alpha 90.00
_cell_angle_beta 90.00
_cell_angle_gamma 90.00
_symmetry_space_group_name_H-M 'I 2 3'
_symmetry_Int_Tables_number 197
_symmetry_space_group_name_Hall 'I 2 2 3'
loop_
_atom_site_label
_atom_site_fract_x
_atom_site_fract_y
_atom_site_fract_z
Rb1 0.137 0.137 0.137
Ho1 0.000 0.161 0.500
F1 0.000 0.000 0.000
F2 0.000 0.000 0.380
F3 0.002 0.303 0.363
# Energy ... -168.77 eV/f.u.
# Formation energy (no corrections) ... -101.88 eV per formula unit

***

Record 17
# AcDy2Bi, relaxed, DFT PBE-GGA
data_AcDy2Bi
_cell_length_a 5.065
_cell_length_b 5.065
_cell_length_c 4.997
_cell_angle_alpha 90.00
_cell_angle_beta 90.00
_cell_angle_gamma 90.00
_symmetry_space_group_name_H-M 'P 4/m m m'
_symmetry_Int_Tables_number 123
_symmetry_space_group_name_Hall '-P 4 2'
loop_
_atom_site_label
_atom_site_fract_x
_atom_site_fract_y
_atom_site_fract_z
Ac1 0.000 0.000 0.000
Dy1 0.000 0.500 0.500
Bi1 0.500 0.500 0.000
# Energy ... -18.44 eV/f.u.
# Energy above the lowest structure with this stoichiometry ... 21.1 meV/atom
# Energy of formation ... -30.1 kJ/mol of atoms

***

Record 18
# YHfTlHg, relaxed, DFT PBE-GGA
data_YHfTlHg
_cell_length_a 7.276
_cell_length_b 7.276
_cell_length_c 7.276
_cell_angle_alpha 90.00
_cell_angle_beta 90.00
_cell_angle_gamma 90.00
_symmetry_space_group_name_H-M 'F -4 3 m'
_symmetry_Int_Tables_number 216
_symmetry_space_group_name_Hall 'F -4 2 3'
loop_
_atom_site_label
_atom_site_fract_x
_atom_site_fract_y
_atom_site_fract_z
Y1 0.000 0.000 0.000
Hf1 0.000 0.000 0.500
Tl1 0.250 0.250 0.750
Hg1 0.250 0.250 0.250
# Energy ... -19.54 eV/f.u.
# Energy of formation ... -11.0 kJ/mol of atoms

***

Record 19
# La14MgBi, relaxed, DFT PBE-GGA
data_La14MgBi
_cell_length_a 7.274
_cell_length_b 7.274
_cell_length_c 10.555
_cell_angle_alpha 90.00
_cell_angle_beta 90.00
_cell_angle_gamma 90.00
_symmetry_space_group_name_H-M 'P 4/m m m'
_symmetry_Int_Tables_number 123
_symmetry_space_group_name_Hall '-P 4 2'
loop_
_atom_site_label
_atom_site_fract_x
_atom_site_fract_y
_atom_site_fract_z
La1 0.000 0.000 0.000
La2 0.000 0.500 0.000
La3 0.000 0.500 0.500
La4 0.249 0.249 0.255
La5 0.500 0.500 0.000
Mg1 0.500 0.500 0.500
Bi1 0.000 0.000 0.500
# Energy ... -76.43 eV/f.u.
# Energy of formation ... -11.9 kJ/mol of atoms

***

Record 20
# TiFeIr2, relaxed, DFT PBE-GGA
data_TiFeIr2
_cell_length_a 3.837
_cell_length_b 3.837
_cell_length_c 16.995
_cell_angle_alpha 90.00
_cell_angle_beta 90.00
_cell_angle_gamma 90.00
_symmetry_space_group_name_H-M 'I -4 2 d'
_symmetry_Int_Tables_number 122
_symmetry_space_group_name_Hall 'I -4 2bw'
loop_
_atom_site_label
_atom_site_fract_x
_atom_site_fract_y
_atom_site_fract_z
Ti1 0.000 0.000 0.000
Fe1 0.000 0.000 0.500
Ir1 0.233 0.250 0.625
# Energy ... -33.71 eV/f.u.
# Energy of formation ... 8.8 kJ/mol of atoms

***

Record 21
# FeOs2Br, relaxed, DFT PBE-GGA
data_FeOs2Br
_cell_length_a 4.442
_cell_length_b 4.442
_cell_length_c 2.993
_cell_angle_alpha 90.00
_cell_angle_beta 90.00
_cell_angle_gamma 90.00
_symmetry_space_group_name_H-M 'P 4/m m m'
_symmetry_Int_Tables_number 123
_symmetry_space_group_name_Hall '-P 4 2'
loop_
_atom_site_label
_atom_site_fract_x
_atom_site_fract_y
_atom_site_fract_z
Fe1 0.000 0.000 0.000
Os1 0.000 0.500 0.500
Br1 0.500 0.500 0.000
# Energy ... -27.42 eV/f.u.
# Energy above the lowest structure with this stoichiometry ... 619.7 meV/atom
# Formation energy (no corrections) ... 5.17 eV per formula unit

***

Record 22
# Y3VZn, relaxed, DFT PBE-GGA
data_Y3VZn
_cell_length_a 5.235
_cell_length_b 5.235
_cell_length_c 5.235
_cell_angle_alpha 90.00
_cell_angle_beta 90.00
_cell_angle_gamma 90.00
_symmetry_space_group_name_H-M 'P m -3 m'
_symmetry_Int_Tables_number 221
_symmetry_space_group_name_Hall '-P 4 2 3'
loop_
_atom_site_label
_atom_site_fract_x
_atom_site_fract_y
_atom_site_fract_z
Y1 0.000 0.000 0.500
V1 0.000 0.000 0.000
Zn1 0.500 0.500 0.500
# Energy ... -27.11 eV/f.u.
# Energy above the lowest structure with this stoichiometry ... 0.0 meV/atom
# Energy of formation ... 51.6 kJ/mol of atoms

***

Record 23
# LiBeHI2, relaxed, DFT PBE-GGA
data_LiBeHI2
_cell_length_a 5.230
_cell_length_b 5.230
_cell_length_c 5.117
_cell_angle_alpha 90.00
_cell_angle_beta 90.00
_cell_angle_gamma 90.00
_symmetry_space_group_name_H-M 'P 4/m m m'
_symmetry_Int_Tables_number 123
_symmetry_space_group_name_Hall '-P 4 2'
loop_
_atom_site_label
_atom_site_fract_x
_atom_site_fract_y
_atom_site_fract_z
Li1 0.000 0.000 0.000
Be1 0.000 0.000 0.500
H1 0.500 0.500 0.000
I1 0.000 0.500 0.500
# Energy ... -9.69 eV/f.u.

***

Record 24
# Tb3Tm2Sc7, relaxed, DFT PBE-GGA
data_Tb3Tm2Sc7
_cell_length_a 3.494
_cell_length_b 5.271
_cell_length_c 18.984
_cell_angle_alpha 90.00
_cell_angle_beta 95.28
_cell_angle_gamma 90.00
_symmetry_space_group_name_H-M 'P 1 2/m 1'
_symmetry_Int_Tables_number 10
loop_
_symmetry_equiv_pos_as_xyz
'x,y,z'
'-x,-y,-z'
'-x,y,-z'
'x,-y,z'
loop_
_atom_site_label
_atom_site_fract_x
_atom_site_fract_y
_atom_site_fract_z
Tb1 0.000 0.000 0.000
Tb2 0.328 0.500 0.656
Tm1 0.137 0.000 0.273
Sc1 0.082 0.500 0.164
Sc2 0.216 0.000 0.433
Sc3 0.432 0.000 0.865
Sc4 0.500 0.500 0.000
# Energy ... -64.09 eV/f.u.
# Energy of formation ... 24.7 kJ/mol of atoms